No. 1
{"formula": "MnCrW", "functional": "PBE", "state": "relaxed", "lattice": [[0.0587, 3.3425, -3.3928], [0.1697, -4.5841, -1.2822], [-3.9596, -0.7943, 2.5254]], "species": ["Mn", "Mn", "Cr", "Cr", "W", "W"], "fractional_positions": [[0.0000, 0.5000, 0.5000], [0.5000, 0.0000, 0.5000], [0.5000, 0.5000, 0.5000], [0.0000, 0.5000, 0.0000], [0.2500, 0.1273, 0.8773], [0.7500, 0.8727, 0.1227]], "formation_enthalpy_0k_ev_per_atom": -0.005, "total_magnetization_mub_per_fu": 0.40, "relative_energy_ev_per_atom": 0.000, "density_g_cm3": 12.57}

---

No. 2
{"formula": "MnCrW", "functional": "PBE", "state": "relaxed", "lattice": [[-2.9724, 0.9901, 4.4037], [-1.2976, -2.5624, 4.5781], [3.7059, 1.5701, -3.6068]], "species": ["Cr", "Mn", "W"], "fractional_positions": [[0.9774, 0.9774, 0.0000], [0.3538, 0.3538, 0.0000], [0.6688, 0.6688, 0.0000]], "formation_enthalpy_0k_ev_per_atom": 0.159, "total_magnetization_mub_per_fu": 0.00, "relative_energy_ev_per_atom": 0.165, "density_g_cm3": 12.41}

---

No. 3
{"formula": "Mn2CrW", "functional": "PBE", "state": "relaxed", "lattice": [[4.1263, 0.0000, 0.0000], [0.0000, 2.5837, 0.0007], [0.0000, 0.8589, 4.7700]], "species": ["Cr", "Mn", "Mn", "W"], "fractional_positions": [[0.5000, 0.7442, 0.7706], [0.0000, 0.9837, 0.9908], [0.5000, 0.2656, 0.2454], [0.0000, 0.5065, 0.4933]], "formation_enthalpy_0k_ev_per_atom": 0.146, "total_magnetization_mub_per_fu": 2.20, "density_g_cm3": 11.29}

---

No. 4
{"formula": "MnCrW", "functional": "PBE", "state": "relaxed", "lattice": [[-3.4012, 2.1848, 0.9958], [-0.7040, -2.0441, 2.0802], [5.0256, 2.1284, 3.7923]], "species": ["Mn", "Mn", "Cr", "Cr", "W", "W"], "fractional_positions": [[0.5885, 0.2500, 0.1770], [0.4115, 0.7500, 0.8230], [0.2508, 0.2500, 0.5016], [0.7492, 0.7500, 0.4984], [0.9125, 0.2500, 0.8250], [0.0875, 0.7500, 0.1750]], "formation_enthalpy_0k_ev_per_atom": 0.127, "total_magnetization_mub_per_fu": 0.98, "relative_energy_ev_per_atom": 0.133, "density_g_cm3": 12.25}

---

No. 5
{"formula": "Y2MnCrW", "functional": "PBE", "state": "relaxed", "lattice": [[5.2483, 0.0000, 0.0000], [0.0000, 3.9679, 0.0000], [0.0000, 0.0000, 5.2483]], "species": ["Y", "Y", "Cr", "Mn", "W"], "fractional_positions": [[0.0000, 0.0000, 0.5000], [0.5000, 0.0000, 0.0000], [0.0000, 0.0000, 0.0000], [0.0000, 0.5000, 0.0000], [0.5000, 0.5000, 0.5000]], "formation_enthalpy_0k_ev_per_atom": 1.238, "total_magnetization_mub_per_fu": 1.79, "density_g_cm3": 7.12}

---

No. 6
{"formula": "MnZnCr2W", "functional": "PBE", "state": "relaxed", "lattice": [[-1.0248, 4.0977, 0.8790], [-2.2483, 0.2024, -3.5644], [-3.5040, -1.3342, 2.1344]], "species": ["Cr", "Cr", "Zn", "Mn", "W"], "fractional_positions": [[0.0000, 0.0000, 0.5000], [0.5000, 0.0000, 0.0000], [0.0000, 0.0000, 0.0000], [0.0000, 0.5000, 0.0000], [0.5000, 0.5000, 0.5000]], "formation_enthalpy_0k_ev_per_atom": 1.696, "total_magnetization_mub_per_fu": 2.92, "density_g_cm3": 8.63}

---

No. 7
{"formula": "Y2MnCr", "functional": "PBE", "state": "relaxed", "lattice": [[0.0000, 3.5635, 3.5635], [3.5635, 0.0000, 3.5635], [3.5635, 3.5635, 0.0000]], "species": ["Y", "Y", "Cr", "Mn"], "fractional_positions": [[0.2500, 0.2500, 0.2500], [0.7500, 0.7500, 0.7500], [0.0000, 0.0000, 0.0000], [0.5000, 0.5000, 0.5000]], "formation_enthalpy_0k_ev_per_atom": 0.310, "total_magnetization_mub_per_fu": 6.69, "relative_energy_ev_per_atom": 0.144, "density_g_cm3": 5.22}

---

No. 8
{"formula": "YMnCr2", "functional": "PBE", "state": "relaxed", "lattice": [[5.0409, -0.0126, -0.0398], [-2.2502, 4.6113, 0.0078], [0.5405, 0.8264, 2.6201]], "species": ["Cr", "Cr", "Mn", "Y"], "fractional_positions": [[0.0000, 0.0000, 0.0000], [0.5000, 0.0000, 0.5000], [0.0000, 0.5000, 0.5000], [0.5000, 0.5000, 0.0000]], "formation_enthalpy_0k_ev_per_atom": 0.739, "total_magnetization_mub_per_fu": 0.16, "relative_energy_ev_per_atom": 0.450, "density_g_cm3": 6.75}